Entry from Alexandria: crystalline Tb3BeSi3 at its relaxed geometry (PBE).

## Properties
The value obtained for the uncorrected formation energy is -0.72 eV/atom. The energy is -5.558 eV/atom.

Lattice parameters (Å, degrees): 3.8592 4.2009 17.4211 90.00 90.00 90.00
Fractional coordinates of all 14 atoms:
1 Tb 0.0000 0.0000 0.0000
2 Tb 0.0000 0.0000 0.3679
3 Tb 0.0000 0.5000 0.6828
4 Tb 0.5000 0.0000 0.1828
5 Tb 0.5000 0.5000 0.5000
6 Tb 0.5000 0.5000 0.8679
7 Be 0.0000 0.5000 0.1157
8 Be 0.5000 0.0000 0.6157
9 Si 0.0000 0.0000 0.5486
10 Si 0.0000 0.0000 0.8264
11 Si 0.0000 0.5000 0.2419
12 Si 0.5000 0.0000 0.7419
13 Si 0.5000 0.5000 0.0486
14 Si 0.5000 0.5000 0.3264